Record 1
BaCdI2 | Alexandria via LeMat-Bulk | PBE | relaxed; space-group type = Fm-3m (225)
1.0
8.593 0.000 0.000
0.000 8.593 0.000
0.000 0.000 8.593
Ba Cd I
4 4 8
Direct
0.000 0.000 0.000
0.000 0.500 0.500
0.500 0.000 0.500
0.500 0.500 0.000
0.000 0.000 0.500
0.000 0.500 0.000
0.500 0.000 0.000
0.500 0.500 0.500
0.250 0.250 0.250
0.250 0.250 0.750
0.250 0.750 0.250
0.250 0.750 0.750
0.750 0.250 0.250
0.750 0.250 0.750
0.750 0.750 0.250
0.750 0.750 0.750


Record 2
LiCaPt2 | Alexandria via LeMat-Bulk | PBE | relaxed; space-group type = Fm-3m (225); energy of formation = -0.561 eV per atom
1.0
6.556 0.000 0.000
0.000 6.556 0.000
0.000 0.000 6.556
Li Ca Pt
4 4 8
Direct
0.000 0.000 0.000
0.000 0.500 0.500
0.500 0.000 0.500
0.500 0.500 0.000
0.000 0.000 0.500
0.000 0.500 0.000
0.500 0.000 0.000
0.500 0.500 0.500
0.250 0.250 0.250
0.250 0.250 0.750
0.250 0.750 0.250
0.250 0.750 0.750
0.750 0.250 0.250
0.750 0.250 0.750
0.750 0.750 0.250
0.750 0.750 0.750


Record 3
DyPuCdRu | Alexandria via LeMat-Bulk | PBE | relaxed; space-group type = F-43m (216); energy of formation = -0.069 eV per atom
1.0
7.128 0.000 0.000
0.000 7.128 0.000
0.000 0.000 7.128
Dy Pu Cd Ru
4 4 4 4
Direct
0.000 0.000 0.000
0.000 0.500 0.500
0.500 0.000 0.500
0.500 0.500 0.000
0.000 0.000 0.500
0.000 0.500 0.000
0.500 0.000 0.000
0.500 0.500 0.500
0.250 0.250 0.750
0.250 0.750 0.250
0.750 0.250 0.250
0.750 0.750 0.750
0.250 0.250 0.250
0.250 0.750 0.750
0.750 0.250 0.750
0.750 0.750 0.250


Record 4
HfZr4Sc2 | Alexandria via LeMat-Bulk | PBE | relaxed; space-group type = R3m (160); energy of formation = 0.006 eV per atom
1.0
1.618 0.934 18.094
-1.618 0.934 18.094
0.000 -1.869 18.094
Hf Zr Sc
1 4 2
Direct
0.000 0.000 0.000
0.094 0.094 0.094
0.190 0.190 0.190
0.620 0.620 0.620
0.713 0.713 0.713
0.809 0.809 0.809
0.905 0.905 0.905


Record 5
ThNiSnPd | Alexandria via LeMat-Bulk | PBE | relaxed; space-group type = F-43m (216); energy of formation = -0.594 eV per atom
1.0
6.864 0.000 0.000
0.000 6.864 0.000
0.000 0.000 6.864
Th Ni Sn Pd
4 4 4 4
Direct
0.000 0.000 0.000
0.000 0.500 0.500
0.500 0.000 0.500
0.500 0.500 0.000
0.250 0.250 0.250
0.250 0.750 0.750
0.750 0.250 0.750
0.750 0.750 0.250
0.000 0.000 0.500
0.000 0.500 0.000
0.500 0.000 0.000
0.500 0.500 0.500
0.250 0.250 0.750
0.250 0.750 0.250
0.750 0.250 0.250
0.750 0.750 0.750


Record 6
MnIn2Pt | Alexandria via LeMat-Bulk | PBE | relaxed; space-group type = I-4m2 (119); energy of formation = -0.109 eV per atom
1.0
4.098 0.000 0.000
0.000 4.098 0.000
0.000 0.000 8.651
Mn In Pt
2 4 2
Direct
0.000 0.000 0.000
0.500 0.500 0.500
0.000 0.000 0.500
0.000 0.500 0.250
0.500 0.000 0.750
0.500 0.500 0.000
0.000 0.500 0.750
0.500 0.000 0.250


Number 1: energy -0.1913 Ry/atom, total magnetic moment 0.000 μB/cell. Number 2: energy -0.3352 Ry/atom, total magnetic moment 0.000 μB/cell. Number 3: energy -0.5403 Ry/atom, total magnetic moment 21.425 μB/cell. Number 4: energy -0.5961 Ry/atom, total magnetic moment 0.000 μB/cell. Number 5: energy -0.4552 Ry/atom, total magnetic moment 0.000 μB/cell. Number 6: energy -0.3882 Ry/atom, total magnetic moment 7.073 μB/cell.